! SeS2ICl GGA-PBE optimized geometry; values from VASP
&SYSTEM
  ibrav = 0, nat = 5, ntyp = 4
/
ATOMIC_SPECIES
S 32.06 S.upf
I 126.90 I.upf
Cl 35.45 Cl.upf
Se 78.96 Se.upf
CELL_PARAMETERS angstrom
-3.988 0.913 -3.150
1.063 -4.331 -2.602
-3.264 -2.796 3.322
ATOMIC_POSITIONS crystal
S 0.000 0.500 0.000
S 0.500 0.000 0.000
I 0.000 0.000 0.000
Cl 0.000 0.000 0.500
Se 0.500 0.500 0.500
! - E_form (uncorrected): 0.96 eV per atom
! - Relative energy among the computed polymorphs: 397 meV/atom
! - E: -10.33 eV/cell
! - Space group: P4/mmm